Here is a relaxed V2Bi4O11 crystal from Alexandria via LeMat-Bulk. Energies are from GGA+U.

Cell and atoms, written as CIF:
```
data_V2Bi4O11
_symmetry_space_group_name_H-M 'C 1 2 1'
_symmetry_Int_Tables_number 5
_symmetry_space_group_name_Hall 'C 2y'
_cell_length_a 15.482
_cell_length_b 5.613
_cell_length_c 11.154
_cell_angle_alpha 90.00
_cell_angle_beta 90.74
_cell_angle_gamma 90.00
loop_
_atom_site_label
_atom_site_type_symbol
_atom_site_fract_x
_atom_site_fract_y
_atom_site_fract_z
V1 V 0.000 0.000 0.000
V2 V 0.000 0.045 0.500
V3 V 0.009 0.476 0.226
Bi1 Bi 0.163 0.968 0.255
Bi2 Bi 0.165 0.523 0.501
Bi3 Bi 0.168 0.544 0.987
Bi4 Bi 0.178 0.971 0.749
O1 O 0.021 0.209 0.370
O2 O 0.028 0.202 0.122
O3 O 0.035 0.675 0.112
O4 O 0.079 0.620 0.328
O5 O 0.094 0.889 0.537
O6 O 0.098 0.532 0.750
O7 O 0.107 0.924 0.951
O8 O 0.239 0.240 0.129
O9 O 0.240 0.237 0.374
O10 O 0.241 0.735 0.130
O11 O 0.247 0.737 0.377
```

Values from the calculation:
As for the theoretical density: 7.6 g/cm³. The value obtained for the volume is 969 Å³ per cell. For the energy above the most stable polymorph in this dataset, the calculation gives 0.032 eV/atom.